BPtS2: optimized geometry, PBE-GGA.

Properties
- Uncorrected formation energy: 0.178 eV per atom
- Theoretical density: 6.0 g/cm³
- VASP energy: -5.065 eV/atom

Cell: 3.8501 3.8501 17.3684 Å, 90.00 90.00 120.00°
Space group R-3m (No. 166, hexagonal axes)
Symmetry-distinct sites (fractional):
B1 0.0000 0.0000 0.0000
Pt1 0.0000 0.0000 0.5000
S1 0.0000 0.0000 0.0975



BSbPt2S: optimized geometry, PBE-GGA.

Properties
- Uncorrected formation energy: 0.308 eV per atom
- Theoretical density: 10.2 g/cm³
- VASP energy: -5.094 eV/atom

Cell: 4.078 4.078 5.433 Å, 90.00 90.00 90.00°
Space group P4/mmm (No. 123)
Symmetry-distinct sites (fractional):
B1 0.000 0.000 0.000
Sb1 0.000 0.000 0.500
Pt1 0.000 0.500 0.000
S1 0.500 0.500 0.500



ScB2PtS: optimized geometry, PBE-GGA.

Properties
- Uncorrected formation energy: 1.784 eV per atom
- Theoretical density: 5.0 g/cm³
- VASP energy: -4.187 eV/atom

Cell: 4.419 4.419 4.967 Å, 90.00 90.00 90.00°
Space group P4/mmm (No. 123)
Symmetry-distinct sites (fractional):
Sc1 0.000 0.000 0.000
B1 0.000 0.500 0.000
Pt1 0.000 0.000 0.500
S1 0.500 0.500 0.500



Si2BPtS: optimized geometry, PBE-GGA.

Properties
- Uncorrected formation energy: 0.600 eV per atom
- Theoretical density: 7.0 g/cm³
- VASP energy: -4.938 eV/atom

Cell: 4.025 4.025 4.283 Å, 90.00 90.00 90.00°
Space group P4/mmm (No. 123)
Symmetry-distinct sites (fractional):
Si1 0.000 0.500 0.000
B1 0.000 0.000 0.000
Pt1 0.500 0.500 0.500
S1 0.000 0.000 0.500



Ta2BPtS: optimized geometry, PBE-GGA.

Properties
- Uncorrected formation energy: 1.043 eV per atom
- Theoretical density: 11.2 g/cm³
- VASP energy: -7.067 eV/atom

Cell: 4.527 4.527 4.332 Å, 90.00 90.00 90.00°
Space group P4/mmm (No. 123)
Symmetry-distinct sites (fractional):
Ta1 0.000 0.500 0.000
B1 0.000 0.000 0.500
Pt1 0.500 0.500 0.500
S1 0.500 0.500 0.000



YB2PtS: optimized geometry, PBE-GGA.

Properties
- Uncorrected formation energy: 2.017 eV per atom
- Theoretical density: 4.8 g/cm³
- VASP energy: -3.980 eV/atom

Cell: 4.735 4.735 5.219 Å, 90.00 90.00 90.00°
Space group P4/mmm (No. 123)
Symmetry-distinct sites (fractional):
Y1 0.000 0.000 0.000
B1 0.000 0.500 0.000
Pt1 0.000 0.000 0.500
S1 0.500 0.500 0.500